Entry from Alexandria via LeMat-Bulk: a relaxed Hf4CoPt crystal (PBE).

As for the formation energy from the elements: -0.498 eV per atom. The value obtained for the total magnetization is 0.0 Bohr magnetons per cell.

The structure belongs to space group C2/c (No. 15); the cell edges are 7.8002, 11.2041 and 5.4837 Å and the angles 90.00°, 105.45° and 90.00°. Symmetry generates all atoms from Hf at (0.0958, 0.1837, 0.0447), Hf at (0.2065, 0.4159, 0.4081), Co at (0.0000, 0.0045, 0.7500) and Pt at (0.0000, 0.3812, 0.7500).